# 1
Density functional theory data (PBE-GGA) for a relaxed structure of TlCu2ReBi.

Values from the calculation:
Final energy, eV/atom: -4.45

abc: 4.917 4.917 5.196
angles: 90.00 90.00 90.00
Sites, in units of the cell vectors:
Tl 0.000 0.000 0.000
Cu 0.000 0.500 0.500
Cu 0.500 0.000 0.500
Re 0.500 0.500 0.500
Bi 0.500 0.500 0.000



# 2
Density functional theory data (PBE-GGA) for a relaxed structure of Tl2CuReBi.

Values from the calculation:
Final energy, eV/atom: -3.99

abc: 5.354 5.354 4.839
angles: 90.00 90.00 90.00
Sites, in units of the cell vectors:
Tl 0.000 0.500 0.000
Tl 0.500 0.000 0.000
Cu 0.000 0.000 0.500
Re 0.000 0.000 0.000
Bi 0.500 0.500 0.500



# 3
Density functional theory data (PBE-GGA) for a relaxed structure of Cu2Bi2Rh.

Values from the calculation:
Energy above the lowest structure with this stoichiometry, meV/atom: 36
Final energy, eV/atom: -4.47

abc: 7.009 7.009 3.882
angles: 90.00 90.00 90.00
Sites, in units of the cell vectors:
Cu 0.125 0.375 0.000
Cu 0.375 0.875 0.000
Cu 0.625 0.125 0.000
Cu 0.875 0.625 0.000
Bi 0.181 0.681 0.500
Bi 0.319 0.181 0.500
Bi 0.681 0.819 0.500
Bi 0.819 0.319 0.500
Rh 0.000 0.000 0.000
Rh 0.500 0.500 0.000



# 4
Density functional theory data (PBE-GGA) for a relaxed structure of Cu4BiRh.

Values from the calculation:
Final energy, eV/atom: -4.48

abc: 4.999 4.999 4.999
angles: 60.00 60.00 60.00
Sites, in units of the cell vectors:
Cu 0.124 0.124 0.124
Cu 0.124 0.124 0.628
Cu 0.124 0.628 0.124
Cu 0.628 0.124 0.124
Bi 0.500 0.500 0.500
Rh 0.750 0.750 0.750



Total moment / μB/cell: 0.00; 1.43; 0.00; 0.00